Entry 1:
# ScSb3Br

An optimized crystal structure of ScSb3Br (GGA-PBEsol, Alexandria).

Output
Uncorrected formation energy = 114 meV per atom
Uncorrected energy = -21.58 eV for the cell shown
DOS at the Fermi energy = 0.62 states/eV per atom

abc: 5.372 5.372 5.372
angles: 90.00 90.00 90.00
Space group Pm-3m (No. 221)
Inequivalent atoms, fractional coordinates:
Sc 0.000 0.000 0.000 x1
Sb 0.000 0.000 0.500 x3
Br 0.500 0.500 0.500 x1

Entry 2:
# ScSbBr

An optimized crystal structure of ScSbBr (GGA-PBEsol, Alexandria).

Output
Uncorrected formation energy = -40 meV per atom
Uncorrected energy = -52.60 eV for the cell shown
DOS at the Fermi energy = 1.92 states/eV per atom

abc: 7.091 7.091 7.091
angles: 90.00 90.00 90.00
Space group F-43m (No. 216)
Inequivalent atoms, fractional coordinates:
Sc 0.000 0.000 0.000 x4
Sb 0.250 0.250 0.250 x4
Br 0.000 0.000 0.500 x4

Entry 3:
# ScSb2Br

An optimized crystal structure of ScSb2Br (GGA-PBEsol, Alexandria).

Output
Uncorrected formation energy = -251 meV per atom
Uncorrected energy = -55.78 eV for the cell shown
DOS at the Fermi energy = 0.82 states/eV per atom

abc: 3.4423 3.4423 28.5124
angles: 90.00 90.00 120.00
Space group R-3m (No. 166, hexagonal axes)
Inequivalent atoms, fractional coordinates:
Sc 0.0000 0.0000 0.0000 x3
Sb 0.0000 0.0000 0.2536 x6
Br 0.0000 0.0000 0.5000 x3

Entry 4:
# ScSbBr2

An optimized crystal structure of ScSbBr2 (GGA-PBEsol, Alexandria).

Output
Uncorrected formation energy = -420 meV per atom
Uncorrected energy = -33.17 eV for the cell shown
DOS at the Fermi energy = 0.46 states/eV per atom

abc: 4.325 4.325 10.143
angles: 90.00 90.00 90.00
Space group I-4m2 (No. 119)
Inequivalent atoms, fractional coordinates:
Sc 0.000 0.000 0.000 x2
Sb 0.000 0.500 0.750 x2
Br 0.000 0.000 0.500 x2
Br 0.000 0.500 0.250 x2

Entry 5:
# ScSbSe2Br

An optimized crystal structure of ScSbSe2Br (GGA-PBEsol, Alexandria).

Output
Uncorrected formation energy = 36 meV per atom
Uncorrected energy = -20.55 eV for the cell shown
DOS at the Fermi energy = 1.00 states/eV per atom

abc: 5.335 5.335 5.240
angles: 90.00 90.00 90.00
Space group P4/mmm (No. 123)
Inequivalent atoms, fractional coordinates:
Sc 0.000 0.000 0.000 x1
Sb 0.500 0.500 0.500 x1
Se 0.000 0.500 0.500 x2
Br 0.500 0.500 0.000 x1

Entry 6:
# ScSb2TeBr

An optimized crystal structure of ScSb2TeBr (GGA-PBEsol, Alexandria).

Output
Uncorrected formation energy = -3 meV per atom
Uncorrected energy = -21.13 eV for the cell shown
DOS at the Fermi energy = 0.52 states/eV per atom

abc: 5.435 5.435 5.286
angles: 90.00 90.00 90.00
Space group P4/mmm (No. 123)
Inequivalent atoms, fractional coordinates:
Sc 0.000 0.000 0.000 x1
Sb 0.000 0.500 0.000 x2
Te 0.000 0.000 0.500 x1
Br 0.500 0.500 0.500 x1

Entry 7:
# SbSeBr4

An optimized crystal structure of SbSeBr4 (GGA-PBEsol, Alexandria).

Output
Uncorrected formation energy = 713 meV per atom
Uncorrected energy = -46.43 eV for the cell shown
DOS at the Fermi energy = 1.10 states/eV per atom

abc: 8.410 8.410 8.410
angles: 90.00 90.00 90.00
Space group F-43m (No. 216)
Inequivalent atoms, fractional coordinates:
Sb 0.000 0.000 0.000 x4
Se 0.250 0.250 0.250 x4
Br 0.125 0.125 0.625 x16

Entry 8:
# SbSe2Br

An optimized crystal structure of SbSe2Br (GGA-PBEsol, Alexandria).

Output
Uncorrected formation energy = 26 meV per atom
Uncorrected energy = -28.05 eV for the cell shown
E above lowest polymorph = 0.000 eV/atom
DOS at the Fermi energy = 0.45 states/eV per atom

abc: 11.677 3.589 5.172
angles: 90.00 100.71 90.00
Space group C2/m (No. 12)
Inequivalent atoms, fractional coordinates:
Sb 0.000 0.000 0.000 x2
Se 0.192 0.500 0.115 x4
Br 0.000 0.500 0.500 x2